Record 1
A relaxed Pr2NdY5Tm crystal. Source: Alexandria, functional PBE.

## Properties
DFT total energy	-5.434	eV/atom
symmetry	I4/mcm, No. 140
size of the total moment	0.000	μB/f.u.
energy of formation from the pure elements	246	meV/atom

The structure in POSCAR format:
```
Pr2NdY5Tm
1.0
-4.3176 4.3176 7.9770
4.3176 -4.3176 7.9770
4.3176 4.3176 -7.9770
Pr Nd Y Tm
4 2 10 2
Cartesian
5.3481 1.0305 0.0000
1.0305 3.2871 0.0000
3.2871 1.0305 7.9770
-1.0305 3.2871 7.9770
4.3176 0.0000 3.9885
0.0000 4.3176 3.9885
0.0000 0.0000 0.0000
2.5099 1.8077 -2.2375
2.5099 -1.8077 5.7395
2.5099 1.8077 2.2375
2.5099 -1.8077 10.2145
0.0000 0.0000 7.9770
1.8077 6.1252 -2.2375
1.8077 2.5099 5.7395
1.8077 6.1252 2.2375
1.8077 2.5099 10.2145
0.0000 0.0000 3.9885
0.0000 0.0000 11.9655
```

=====

Record 2
A relaxed Ba2NaVH6 crystal. Source: Alexandria, functional PBE.

## Properties
DFT total energy	-3.732	eV/atom
symmetry	P-3m1, No. 164
size of the total moment	1.995	μB/f.u.

The structure in POSCAR format:
```
Ba2NaVH6
1.0
5.6364 0.0000 0.0000
-2.8182 4.8812 0.0000
0.0000 0.0000 6.1596
Ba Na V H
2 1 1 6
Cartesian
0.0000 3.2542 1.9513
2.8182 1.6271 4.2084
0.0000 0.0000 0.0000
0.0000 0.0000 3.0798
0.0000 1.5327 4.1174
-1.4908 4.1149 4.1174
1.3274 0.7664 2.0422
1.4908 4.1149 4.1174
4.3090 0.7664 2.0422
2.8182 3.3485 2.0422
```

=====

Record 3
A relaxed Al3GaPd crystal. Source: Alexandria, functional PBE.

## Properties
DFT total energy	-3.891	eV/atom
energy above the lowest structure with this stoichiometry	0	meV/atom
symmetry	Pm-3m, No. 221
size of the total moment	0.000	μB/f.u.
energy of formation from the pure elements	-1	meV/atom

The structure in POSCAR format:
```
Al3GaPd
1.0
4.7489 0.0000 0.0000
0.0000 4.7489 0.0000
0.0000 0.0000 4.7489
Al Ga Pd
3 1 1
Cartesian
0.0000 0.0000 2.3744
0.0000 2.3744 0.0000
2.3744 0.0000 0.0000
2.3744 2.3744 2.3744
0.0000 0.0000 0.0000
```